[1]
Here is CaPdPt2 after structural relaxation from the Alexandria database. Energies are from GGA-PBEsol.

Cell: 4.5695 4.5695 4.5695 Å, 60.00 60.00 60.00°
Closest atoms and distances in Å follow each position.
Atoms (fractional coordinates):
Ca 0.0000 0.0000 0.0000  8 Pt 2.80
Pd 0.5000 0.5000 0.5000  8 Pt 2.80
Pt 0.2500 0.2500 0.2500  4 Pd 2.80, 4 Ca 2.80
Pt 0.7500 0.7500 0.7500  4 Pd 2.80, 4 Ca 2.80

Magnetization   0.00 μB per formula unit
Formation energy from the elements   -296.3 meV per atom
SG   Fm-3m

[2]
Here is ReSiAs2 after structural relaxation from the Alexandria database. Energies are from GGA-PBEsol.

Cell: 4.4724 4.4724 3.0460 Å, 90.00 90.00 90.00°
Closest atoms and distances in Å follow each position.
Atoms (fractional coordinates):
Re 0.0000 0.0000 0.0000  8 As 2.71
Si 0.5000 0.5000 0.0000  8 As 2.71
As 0.0000 0.5000 0.5000  4 Re 2.71, 4 Si 2.71
As 0.5000 0.0000 0.5000  4 Re 2.71, 4 Si 2.71

Magnetization   0.00 μB per formula unit
Formation energy without anion corrections   0.6243 eV per atom
SG   P4/mmm

[3]
Here is Ag2CO3 after structural relaxation from the Alexandria database. Energies are from GGA-PBEsol.

Cell: 9.1058 9.1058 3.1376 Å, 90.00 90.00 120.00°
Closest atoms and distances in Å follow each position.
Atoms (fractional coordinates):
Ag 0.0007 0.6578 0.0000  2 O 2.12-2.13
Ag 0.0016 0.3610 0.5000  5 O 2.32-2.45
Ag 0.3422 0.3429 0.0000  2 O 2.12-2.13
Ag 0.3594 0.9984 0.5000  5 O 2.32-2.45
Ag 0.6390 0.6406 0.5000  5 O 2.32-2.45
Ag 0.6571 0.9993 0.0000  2 O 2.12-2.13
C 0.0000 0.0000 0.5000  3 O 1.30
C 0.3333 0.6667 0.0000  3 O 1.29
C 0.6667 0.3333 0.0000  3 O 1.29
O 0.1647 0.0921 0.5000  1 C 1.30
O 0.2357 0.5038 0.0000  1 C 1.29
O 0.2681 0.7643 0.0000  1 C 1.29
O 0.4962 0.7319 0.0000  1 C 1.29
O 0.5038 0.2356 0.0000  1 C 1.29
O 0.7318 0.4962 0.0000  1 C 1.29
O 0.7644 0.2682 0.0000  1 C 1.29
O 0.9079 0.0726 0.5000  1 C 1.30
O 0.9274 0.8353 0.5000  1 C 1.30

Offset from the most stable computed form   0.042 eV per atom
Magnetization   0.00 μB per formula unit
Formation energy without anion corrections   -0.6802 eV per atom
SG   P-6

[4]
Here is LaMn2FeCl after structural relaxation from the Alexandria database. Energies are from GGA-PBEsol.

Cell: 4.2721 4.2721 5.7016 Å, 90.00 90.00 90.00°
Closest atoms and distances in Å follow each position.
Atoms (fractional coordinates):
La 0.0000 0.0000 0.0000  2 Fe 2.85, 4 Cl 3.02
Mn 0.0000 0.5000 0.5000  2 Fe 2.14
Mn 0.5000 0.0000 0.5000  2 Fe 2.14
Fe 0.0000 0.0000 0.5000  4 Mn 2.14
Cl 0.5000 0.5000 0.0000  4 La 3.02

Magnetization   6.40 μB per formula unit
Formation energy without anion corrections   0.2989 eV per atom
SG   P4/mmm

[5]
Here is La2SiOs after structural relaxation from the Alexandria database. Energies are from GGA-PBEsol.

Cell: 4.1720 5.7377 5.7377 Å, 44.87 90.00 90.00°
Closest atoms and distances in Å follow each position.
Atoms (fractional coordinates):
La 0.0000 0.0000 0.0000  3 Os 3.08-3.14, 4 Si 3.16
La 0.5000 0.2847 0.2847  3 Si 3.03-3.21, 4 Os 3.14
Si 0.5000 0.5869 0.5869  2 Os 2.43
Os 0.0000 0.7043 0.7043  2 Si 2.43

Magnetization   0.00 μB per formula unit
Formation energy without anion corrections   -0.4131 eV per atom
SG   Amm2

[6]
Here is SrLaNi2 after structural relaxation from the Alexandria database. Energies are from GGA-PBEsol.

Cell: 4.0739 4.0842 5.7516 Å, 90.00 90.00 90.00°
Closest atoms and distances in Å follow each position.
Atoms (fractional coordinates):
Sr 0.0000 0.0000 0.0000  6 Ni 2.87-2.88
La 0.5000 0.5000 0.4986  6 Ni 2.87-2.89
Ni 0.0000 0.0000 0.5003  2 Sr 2.87-2.88, 4 La 2.88
Ni 0.5000 0.5000 0.9968  2 La 2.87-2.89, 4 Sr 2.88

Offset from the most stable computed form   0.254 eV per atom
Magnetization   0.00 μB per formula unit
Formation energy from the elements   137.0 meV per atom
SG   Pmm2